Pr2SmDyEr after structural relaxation. Source: the Alexandria database, functional PBE.

POSCAR file:
```
Pr2SmDyEr
1.0
-7.020 1.311 -1.609
-2.101 -7.710 2.884
0.243 6.068 3.885
Er Sm Dy Pr
2 2 2 4
direct
0.750 0.011 0.023
0.250 0.989 0.977
0.750 0.277 0.554
0.250 0.723 0.446
0.750 0.736 0.472
0.250 0.264 0.528
0.000 0.694 0.000
0.500 0.694 0.000
0.000 0.306 0.000
0.500 0.306 0.000
```

space group: No. 63
total moment: 0.00 μB per formula unit
formation enthalpy at 0 K: 0.401 eV per atom



Ga5Hg12Br3 after structural relaxation. Source: the Alexandria database, functional PBE.

POSCAR file:
```
Ga5Hg12Br3
1.0
-5.606 11.788 -7.262
3.555 -10.673 -9.827
-10.185 -5.248 9.583
Br Hg Ga
12 48 20
direct
0.375 0.625 0.250
0.625 0.375 0.750
0.375 0.750 0.625
0.250 0.625 0.875
0.750 0.875 0.625
0.625 0.250 0.375
0.125 0.875 0.750
0.750 0.375 0.125
0.250 0.125 0.375
0.875 0.750 0.125
0.875 0.125 0.250
0.125 0.250 0.875
0.893 0.822 0.791
0.709 0.102 0.031
0.178 0.107 0.709
0.678 0.469 0.571
0.791 0.322 0.893
0.898 0.607 0.929
0.102 0.709 0.531
0.571 0.602 0.393
0.898 0.291 0.469
0.071 0.178 0.469
0.929 0.107 0.898
0.969 0.571 0.178
0.969 0.398 0.291
0.209 0.531 0.602
0.291 0.393 0.822
0.709 0.607 0.178
0.398 0.969 0.791
0.822 0.929 0.031
0.571 0.969 0.678
0.107 0.178 0.209
0.107 0.929 0.398
0.209 0.678 0.107
0.102 0.393 0.071
0.822 0.893 0.291
0.322 0.531 0.429
0.678 0.209 0.607
0.469 0.678 0.071
0.322 0.791 0.393
0.398 0.429 0.107
0.071 0.893 0.102
0.929 0.822 0.531
0.607 0.709 0.678
0.531 0.322 0.929
0.602 0.031 0.209
0.178 0.071 0.969
0.469 0.791 0.898
0.607 0.898 0.429
0.031 0.602 0.709
0.393 0.102 0.571
0.531 0.209 0.102
0.893 0.071 0.602
0.393 0.291 0.322
0.291 0.898 0.969
0.791 0.469 0.398
0.602 0.571 0.893
0.031 0.429 0.822
0.429 0.398 0.607
0.429 0.031 0.322
0.000 0.500 0.500
0.250 0.875 0.125
0.750 0.125 0.875
0.000 0.000 0.500
0.625 0.750 0.875
0.625 0.875 0.250
0.500 0.500 0.500
0.000 0.000 0.000
0.375 0.250 0.125
0.125 0.375 0.250
0.500 0.000 0.000
0.500 0.500 0.000
0.375 0.125 0.750
0.125 0.750 0.375
0.875 0.250 0.625
0.875 0.625 0.750
0.000 0.500 0.000
0.500 0.000 0.500
0.750 0.625 0.375
0.250 0.375 0.625
```

E_form (uncorrected): -0.02 eV per atom
space group: No. 230
total moment: 0.00 μB per formula unit



CaAc6CoRu after structural relaxation. Source: the Alexandria database, functional PBE.

POSCAR file:
```
CaAc6CoRu
1.0
-2.708 2.834 6.322
1.947 -2.964 6.540
6.312 5.084 0.424
Ac Ru Co Ca
6 1 1 1
direct
0.362 0.633 0.298
0.633 0.362 0.702
0.362 0.005 0.702
0.005 0.362 0.298
0.633 0.005 0.298
0.005 0.633 0.702
0.667 0.667 0.500
0.333 0.333 0.500
0.000 0.000 0.000
```

space group: No. 149
total moment: 0.00 μB per formula unit
formation enthalpy at 0 K: 0.072 eV per atom



Tb3Nd4Se8 after structural relaxation. Source: the Alexandria database, functional PBE.

POSCAR file:
```
Tb3Nd4Se8
1.0
8.317 -0.119 -0.171
-4.059 7.254 0.133
-4.059 -2.393 6.849
Se Nd Tb
8 4 3
direct
0.500 0.254 0.746
0.000 0.744 0.256
0.512 0.260 0.260
0.992 0.740 0.740
0.008 0.260 0.260
0.488 0.740 0.740
0.500 0.746 0.254
0.000 0.256 0.744
0.000 0.000 0.500
0.500 0.000 0.000
0.000 0.500 0.000
0.000 0.000 0.000
0.500 0.500 0.500
0.500 0.000 0.500
0.500 0.500 0.000
```

energy above the most stable polymorph in this dataset: 0.0 kJ/mol of atoms
E_form (uncorrected): -1.85 eV per atom
space group: No. 12
total moment: 0.00 μB per formula unit



BaP2PtS after structural relaxation. Source: the Alexandria database, functional PBE.

POSCAR file:
```
BaP2PtS
1.0
5.589 0.000 0.000
0.000 5.589 0.000
0.000 0.000 5.543
S Ba P Pt
1 1 2 1
direct
0.000 0.000 0.500
0.000 0.000 0.000
0.000 0.500 0.000
0.500 0.000 0.000
0.500 0.500 0.500
```

energy above the most stable polymorph in this dataset: 207.6 kJ/mol of atoms
E_form (uncorrected): 1.83 eV per atom
space group: No. 123
total moment: 1.93 μB per formula unit



TmSi3Ni10 after structural relaxation. Source: the Alexandria database, functional PBE.

POSCAR file:
```
TmSi3Ni10
1.0
6.927 0.000 3.999
2.309 6.530 3.999
0.000 0.000 7.998
Si Ni Tm
6 20 2
direct
0.736 0.264 0.736
0.736 0.264 0.264
0.264 0.736 0.264
0.264 0.264 0.736
0.736 0.736 0.264
0.264 0.736 0.736
0.352 0.648 0.000
0.615 0.155 0.615
0.352 0.000 0.648
0.648 0.000 0.000
0.615 0.615 0.155
0.000 0.352 0.000
0.648 0.352 0.000
0.385 0.385 0.845
0.845 0.385 0.385
0.648 0.000 0.352
0.155 0.615 0.615
0.000 0.000 0.648
0.352 0.000 0.000
0.385 0.385 0.385
0.000 0.000 0.352
0.615 0.615 0.615
0.000 0.352 0.648
0.000 0.648 0.000
0.000 0.648 0.352
0.385 0.845 0.385
0.250 0.250 0.250
0.750 0.750 0.750
```

E_form (uncorrected): -0.38 eV per atom
space group: No. 225
total moment: 0.00 μB per formula unit



CaOsSe2 after structural relaxation. Source: the Alexandria database, functional PBE.

POSCAR file:
```
CaOsSe2
1.0
5.788 0.000 0.000
0.000 5.788 0.000
2.894 2.894 6.445
Se Ca Os
4 2 2
direct
0.692 0.125 0.250
0.058 0.625 0.250
0.375 0.308 0.750
0.875 0.942 0.750
0.250 0.750 0.500
0.500 0.500 0.000
0.000 0.000 0.000
0.750 0.250 0.500
```

energy above the most stable polymorph in this dataset: 29.7 kJ/mol of atoms
E_form (uncorrected): -0.33 eV per atom
space group: No. 122
total moment: 0.00 μB per formula unit



Er2NiHg after structural relaxation. Source: the Alexandria database, functional PBE.

POSCAR file:
```
Er2NiHg
1.0
-3.722 -2.529 2.184
-0.722 -4.827 -1.093
1.027 -3.516 3.406
Er Hg Ni
2 1 1
direct
0.250 0.250 0.250
0.750 0.750 0.750
0.000 0.000 0.000
0.500 0.500 0.500
```

energy above the most stable polymorph in this dataset: 8.2 kJ/mol of atoms
space group: No. 225
total moment: 0.00 μB per formula unit
formation enthalpy at 0 K: -0.380 eV per atom